(1)
Compound: Mg2AuCl2
Source: Alexandria via LeMat-Bulk
Functional: PBEsol
Structure: relaxed

Structure (POSCAR):
```
Mg2AuCl2
1.0
-2.392 2.392 4.640
2.392 -2.392 4.640
2.392 2.392 -4.640
Mg Au Cl
2 1 2
direct
0.250 0.750 0.500
0.750 0.250 0.500
0.000 0.000 0.000
0.343 0.343 0.000
0.657 0.657 0.000
```

E_tot = -14.181 eV for the cell shown
SG = I4/mmm
Total moment = 0.0 μB/f.u.

(2)
Compound: MgP2AuCl
Source: Alexandria via LeMat-Bulk
Functional: PBEsol
Structure: relaxed

Structure (POSCAR):
```
MgP2AuCl
1.0
4.739 0.000 0.000
0.000 4.739 0.000
0.000 0.000 5.103
Mg P Au Cl
1 2 1 1
direct
0.000 0.000 0.000
0.000 0.500 0.500
0.500 0.000 0.500
0.500 0.500 0.500
0.500 0.500 0.000
```

E_tot = -16.573 eV for the cell shown
SG = P4/mmm
Total moment = 0.7 μB/f.u.

(3)
Compound: Mg2TaAuCl
Source: Alexandria via LeMat-Bulk
Functional: PBEsol
Structure: relaxed

Structure (POSCAR):
```
Mg2TaAuCl
1.0
5.079 0.000 0.000
0.000 5.079 0.000
0.000 0.000 5.023
Mg Ta Au Cl
2 1 1 1
direct
0.000 0.500 0.000
0.500 0.000 0.000
0.000 0.000 0.500
0.000 0.000 0.000
0.500 0.500 0.500
```

E_tot = -19.649 eV for the cell shown
SG = P4/mmm
Total moment = 1.9 μB/f.u.

(4)
Compound: MnAuCl
Source: Alexandria via LeMat-Bulk
Functional: PBEsol
Structure: relaxed

Structure (POSCAR):
```
MnAuCl
1.0
3.295 0.000 0.000
-1.647 2.853 0.000
0.000 0.000 6.133
Mn Au Cl
1 1 1
direct
0.000 0.000 0.000
0.333 0.667 0.711
0.667 0.333 0.255
```

E_tot = -16.086 eV for the cell shown
SG = P3m1
Total moment = 4.6 μB/f.u.

(5)
Compound: Mn2AuCl
Source: Alexandria via LeMat-Bulk
Functional: PBEsol
Structure: relaxed

Structure (POSCAR):
```
Mn2AuCl
1.0
1.469 0.848 8.580
-1.469 0.848 8.580
0.000 -1.696 8.580
Mn Au Cl
2 1 1
direct
0.000 0.000 0.000
0.257 0.257 0.257
0.748 0.748 0.748
0.529 0.529 0.529
```

E_tot = -24.853 eV for the cell shown
SG = R3m
Total moment = 6.6 μB/f.u.

(6)
Compound: Mo2AuCl
Source: Alexandria via LeMat-Bulk
Functional: PBEsol
Structure: relaxed

Structure (POSCAR):
```
Mo2AuCl
1.0
1.429 0.825 9.323
-1.429 0.825 9.323
0.000 -1.650 9.323
Mo Au Cl
2 1 1
direct
0.000 0.000 0.000
0.250 0.250 0.250
0.501 0.501 0.501
0.731 0.731 0.731
```

E_tot = -28.819 eV for the cell shown
SG = R3m
Total moment = 0.0 μB/f.u.

(7)
Compound: MoAuCl
Source: Alexandria via LeMat-Bulk
Functional: PBEsol
Structure: relaxed

Structure (POSCAR):
```
MoAuCl
1.0
0.000 3.223 3.223
3.223 0.000 3.223
3.223 3.223 0.000
Mo Au Cl
1 1 1
direct
0.000 0.000 0.000
0.250 0.250 0.250
0.500 0.500 0.500
```

E_tot = -13.855 eV for the cell shown
SG = F-43m
Total moment = 4.0 μB/f.u.

(8)
Compound: MoAu2Cl
Source: Alexandria via LeMat-Bulk
Functional: PBEsol
Structure: relaxed

Structure (POSCAR):
```
MoAu2Cl
1.0
-1.885 1.885 5.047
1.885 -1.885 5.047
1.885 1.885 -5.047
Mo Au Cl
1 2 1
direct
0.000 0.000 0.000
0.250 0.750 0.500
0.750 0.250 0.500
0.500 0.500 0.000
```

E_tot = -18.973 eV for the cell shown
SG = I4/mmm
Total moment = 3.4 μB/f.u.

(9)
Compound: MoAu2Cl
Source: Alexandria via LeMat-Bulk
Functional: PBEsol
Structure: relaxed

Structure (POSCAR):
```
MoAu2Cl
1.0
-1.387 2.130 6.127
1.387 -2.130 6.127
1.387 2.130 -6.127
Mo Au Cl
1 2 1
direct
0.000 0.000 0.000
0.198 0.698 0.500
0.802 0.302 0.500
0.500 0.500 0.000
```

E_tot = -20.211 eV for the cell shown
SG = Immm
Total moment = 1.0 μB/f.u.

(10)
Compound: MoAu2Cl
Source: Alexandria via LeMat-Bulk
Functional: PBEsol
Structure: relaxed

Structure (POSCAR):
```
MoAu2Cl
1.0
5.099 0.000 0.000
0.000 5.099 0.000
0.000 0.000 2.699
Mo Au Cl
1 2 1
direct
0.000 0.000 0.000
0.000 0.500 0.500
0.500 0.000 0.500
0.500 0.500 0.000
```

E_tot = -18.406 eV for the cell shown
SG = P4/mmm
Total moment = 0.5 μB/f.u.

(11)
Compound: Mo2AuCl
Source: Alexandria via LeMat-Bulk
Functional: PBEsol
Structure: relaxed

Structure (POSCAR):
```
Mo2AuCl
1.0
2.731 0.000 0.000
0.000 3.929 0.000
0.000 0.000 5.866
Mo Au Cl
2 1 1
direct
0.000 0.000 0.242
0.000 0.000 0.758
0.500 0.500 0.500
0.000 0.500 0.000
```

E_tot = -27.785 eV for the cell shown
SG = Pmmm
Total moment = 0.0 μB/f.u.

(12)
Compound: Mo2AuCl
Source: Alexandria via LeMat-Bulk
Functional: PBEsol
Structure: relaxed

Structure (POSCAR):
```
Mo2AuCl
1.0
1.607 -2.348 0.000
1.607 2.348 0.000
0.000 0.000 8.975
Mo Au Cl
2 1 1
direct
0.000 0.000 0.000
0.500 0.500 0.218
0.500 0.500 0.747
0.000 0.000 0.439
```

E_tot = -28.577 eV for the cell shown
SG = Cmm2
Total moment = 0.0 μB/f.u.

The highest E_tot belongs to which entry?
MoAuCl

What is the total moment in the fifth record?
6.6 μB/f.u.

Which formula does entry 12 have?
Mo2AuCl